# 1
{
  "formula": "MnAsCl",
  "functional": "PBE",
  "state": "relaxed",
  "cell": [[-0.6997, -1.6071, -3.3903], [6.4205, -1.7050, -0.8083], [1.1712, -5.6927, 3.2420]],
  "species": ["Cl", "Cl", "As", "As", "Mn", "Mn"],
  "fractional_positions": [[0.5885, 0.6196, 0.2457], [0.4115, 0.3804, 0.7543], [0.9154, 0.8953, 0.6759], [0.0846, 0.1047, 0.3241], [0.6106, 0.2622, 0.4798], [0.3894, 0.7378, 0.5202]],
  "e_above_lowest_polymorph_mev_per_atom": 0,
  "raw_formation_energy_ev_per_atom": -0.432,
  "sg": "P-1",
  "total_magnetization_mub_per_fu": 4.03
}

# 2
{
  "formula": "MnAs2Cl",
  "functional": "PBE",
  "state": "relaxed",
  "cell": [[-2.4068, -1.9757, 1.4512], [2.3317, -1.2172, 2.2100], [-1.6364, 5.4771, 4.7429]],
  "species": ["Cl", "As", "As", "Mn"],
  "fractional_positions": [[0.0000, 0.0000, 0.5798], [0.5000, 0.5000, 0.1404], [0.0000, 0.0000, 0.0024], [0.5000, 0.5000, 0.7774]],
  "e_above_lowest_polymorph_mev_per_atom": 183,
  "raw_formation_energy_ev_per_atom": -0.037,
  "sg": "P4mm",
  "total_magnetization_mub_per_fu": 4.34
}

# 3
{
  "formula": "MnAs2Cl",
  "functional": "PBE",
  "state": "relaxed",
  "cell": [[-2.5628, -2.3863, 3.1612], [0.6626, -2.8211, -3.7226], [2.2427, -3.9440, 1.2999]],
  "species": ["As", "As", "Mn", "Cl"],
  "fractional_positions": [[0.0000, 0.0000, 0.0000], [0.5000, 0.5000, 0.0000], [0.0000, 0.5000, 0.5000], [0.5000, 0.0000, 0.5000]],
  "e_above_lowest_polymorph_mev_per_atom": 388,
  "raw_formation_energy_ev_per_atom": 0.168,
  "sg": "I4/mmm",
  "total_magnetization_mub_per_fu": 4.32
}

# 4
{
  "formula": "MnAs2Cl",
  "functional": "PBE",
  "state": "relaxed",
  "cell": [[7.8014, -0.0809, -0.0480], [7.1248, 3.1788, -0.0480], [7.1248, 1.4788, 2.8143]],
  "species": ["Cl", "As", "As", "Mn"],
  "fractional_positions": [[0.2500, 0.2500, 0.2500], [0.4850, 0.4850, 0.4850], [0.0150, 0.0150, 0.0150], [0.7500, 0.7500, 0.7500]],
  "e_above_lowest_polymorph_mev_per_atom": 223,
  "raw_formation_energy_ev_per_atom": 0.003,
  "sg": "R-3m",
  "total_magnetization_mub_per_fu": 1.88
}

# 5
{
  "formula": "MnAsCl",
  "functional": "PBE",
  "state": "relaxed",
  "cell": [[-2.1833, -1.8556, -1.8469], [1.7143, -1.4428, 2.5691], [-5.0929, 1.6741, 4.3385]],
  "species": ["As", "Mn", "Cl"],
  "fractional_positions": [[0.0000, 0.0000, 0.8834], [0.6667, 0.3333, 0.6676], [0.3333, 0.6667, 0.4490]],
  "e_above_lowest_polymorph_mev_per_atom": 9,
  "raw_formation_energy_ev_per_atom": -0.423,
  "sg": "P3m1",
  "total_magnetization_mub_per_fu": 3.00
}

# 6
{
  "formula": "MnAs3Cl",
  "functional": "PBE",
  "state": "relaxed",
  "cell": [[-2.2457, -2.3880, -3.5794], [3.8613, 0.6632, -2.8650], [1.8987, -4.1732, 1.5929]],
  "species": ["As", "As", "As", "Mn", "Cl"],
  "fractional_positions": [[0.0000, 0.0000, 0.5000], [0.0000, 0.5000, 0.0000], [0.5000, 0.0000, 0.0000], [0.5000, 0.5000, 0.5000], [0.0000, 0.0000, 0.0000]],
  "e_above_lowest_polymorph_mev_per_atom": 868,
  "raw_formation_energy_ev_per_atom": 1.143,
  "sg": "Pm-3m",
  "total_magnetization_mub_per_fu": 4.00
}

# 7
{
  "formula": "MnAs2Cl",
  "functional": "PBE",
  "state": "relaxed",
  "cell": [[3.0114, 0.0000, 0.0000], [0.0000, 3.0120, 0.0000], [0.0000, 0.0000, 7.4921]],
  "species": ["As", "As", "Cl", "Mn"],
  "fractional_positions": [[0.0000, 0.0000, 0.5631], [0.0000, 0.0000, 0.9369], [0.5000, 0.5000, 0.2500], [0.5000, 0.5000, 0.7500]],
  "e_above_lowest_polymorph_mev_per_atom": 270,
  "raw_formation_energy_ev_per_atom": 0.050,
  "sg": "P4/mmm",
  "total_magnetization_mub_per_fu": 0.00
}

# 8
{
  "formula": "MnAs2Cl",
  "functional": "PBE",
  "state": "relaxed",
  "cell": [[-4.0058, -2.9618, 0.6214], [2.7027, -3.9650, -1.4760], [0.7938, -0.4916, 2.7742]],
  "species": ["Mn", "Cl", "As", "As"],
  "fractional_positions": [[0.0000, 0.5000, 0.5000], [0.5000, 0.0000, 0.5000], [0.0000, 0.0000, 0.0000], [0.5000, 0.5000, 0.0000]],
  "e_above_lowest_polymorph_mev_per_atom": 610,
  "raw_formation_energy_ev_per_atom": 0.390,
  "sg": "P4/mmm",
  "total_magnetization_mub_per_fu": 4.20
}

# 9
{
  "formula": "MnAsCl",
  "functional": "PBE",
  "state": "relaxed",
  "cell": [[-3.2108, -3.0379, 0.2951], [-1.2538, -1.5194, 3.9680], [-3.9582, 1.1135, 1.6486]],
  "species": ["Cl", "Mn", "As"],
  "fractional_positions": [[0.5000, 0.5000, 0.5000], [0.7500, 0.7500, 0.7500], [0.0000, 0.0000, 0.0000]],
  "e_above_lowest_polymorph_mev_per_atom": 519,
  "raw_formation_energy_ev_per_atom": 0.088,
  "sg": "F-43m",
  "total_magnetization_mub_per_fu": 3.01
}

# 10
{
  "formula": "MnAs2Cl",
  "functional": "PBE",
  "state": "relaxed",
  "cell": [[-5.4613, 0.8974, 1.9290], [-1.3151, -5.6013, -1.1173], [-1.7215, -3.8207, 5.8075]],
  "species": ["As", "As", "As", "As", "Mn", "Mn", "Cl", "Cl"],
  "fractional_positions": [[0.0266, 0.6250, 0.2500], [0.7234, 0.1250, 0.2500], [0.8750, 0.9734, 0.7500], [0.3750, 0.2766, 0.7500], [0.7500, 0.2500, 0.5000], [0.0000, 0.0000, 0.0000], [0.5000, 0.5000, 0.0000], [0.2500, 0.7500, 0.5000]],
  "e_above_lowest_polymorph_mev_per_atom": 428,
  "raw_formation_energy_ev_per_atom": 0.208,
  "sg": "I-42d",
  "total_magnetization_mub_per_fu": 1.58
}

# 11
{
  "formula": "MnAs2Cl",
  "functional": "PBE",
  "state": "relaxed",
  "cell": [[-0.3335, 2.3060, 3.8791], [-1.1063, 4.3873, -0.0639], [-4.0565, 1.3325, 1.4985]],
  "species": ["Cl", "As", "As", "Mn"],
  "fractional_positions": [[0.0000, 0.0000, 0.0000], [0.2500, 0.2500, 0.2500], [0.7500, 0.7500, 0.7500], [0.5000, 0.5000, 0.5000]],
  "e_above_lowest_polymorph_mev_per_atom": 1051,
  "raw_formation_energy_ev_per_atom": 0.831,
  "sg": "Fm-3m",
  "total_magnetization_mub_per_fu": 0.00
}

# 12
{
  "formula": "Na2MnAsCl",
  "functional": "PBE",
  "state": "relaxed",
  "cell": [[-3.9649, -3.4013, 2.0379], [-1.5710, -1.0983, -4.8896], [3.5928, -4.3010, -0.1882]],
  "species": ["Na", "Na", "Mn", "As", "Cl"],
  "fractional_positions": [[0.0000, 0.0000, 0.5000], [0.5000, 0.0000, 0.0000], [0.5000, 0.5000, 0.5000], [0.0000, 0.0000, 0.0000], [0.0000, 0.5000, 0.0000]],
  "raw_formation_energy_ev_per_atom": 0.321,
  "sg": "P4/mmm",
  "total_magnetization_mub_per_fu": 5.00
}